No. 1
Here is crystalline Ca2La2Cd at its relaxed geometry from the Alexandria database. Energies are from PBE-GGA.

Output
**Volume**: 36.8 Å³ per atom
**D(E_F)**: 2.163 states/eV per atom
**Energy above the lowest structure with this stoichiometry**: 234 meV per atom
**Density**: 4.2 g cm⁻³
**Magnetic moment**: 0.00 μB/f.u.
**Energy**: -28.41 eV per cell
**ΔE_f**: 0.11 eV/atom

```
10
Lattice="7.994 0.000 0.000 0.000 7.994 0.000 0.000 0.000 5.759" Properties=species:S:1:pos:R:3 pbc="T T T"
Ca 1.189 2.808 0.000
Ca 2.808 6.805 0.000
Ca 5.185 1.189 0.000
Ca 6.805 5.185 0.000
La 1.289 5.285 2.879
La 2.708 1.289 2.879
La 5.285 6.705 2.879
La 6.705 2.708 2.879
Cd 0.000 0.000 0.000
Cd 3.997 3.997 0.000
```

=====

No. 2
Here is crystalline AlSi2Tc at its relaxed geometry from the Alexandria database. Energies are from PBE-GGA.

Output
**Energy relative to the elements, uncorrected**: 0.797 eV per formula unit
**Volume**: 14.0 Å³ per atom
**D(E_F)**: 0.955 states/eV per atom
**Density**: 5.4 g cm⁻³
**Magnetic moment**: 0.00 μB/f.u.
**Energy**: -24.16 eV per cell

```
4
Lattice="0.000 3.034 3.034 3.034 0.000 3.034 3.034 3.034 0.000" Properties=species:S:1:pos:R:3 pbc="T T T"
Al 0.000 0.000 0.000
Si 1.517 1.517 1.517
Si 3.034 3.034 3.034
Tc 4.551 4.551 4.551
```

=====

No. 3
Here is crystalline ZrNbPd at its relaxed geometry from the Alexandria database. Energies are from PBE-GGA.

Output
**Volume**: 18.7 Å³ per atom
**D(E_F)**: 0.655 states/eV per atom
**Energy above the lowest structure with this stoichiometry**: 0 meV per atom
**Density**: 8.6 g cm⁻³
**Magnetic moment**: 0.00 μB/f.u.
**Energy**: -50.11 eV per cell
**ΔE_f**: -0.41 eV/atom

```
6
Lattice="3.449 0.000 0.000 0.000 3.449 0.000 0.000 0.000 9.429" Properties=species:S:1:pos:R:3 pbc="T T T"
Zr 0.862 0.862 2.176
Zr 2.587 2.587 7.253
Nb 0.862 0.862 5.401
Nb 2.587 2.587 4.028
Pd 0.862 0.862 8.622
Pd 2.587 2.587 0.807
```